# Zn2Ag2Au

A geometry-optimized Zn2Ag2Au structure (PBEsol, Alexandria via LeMat-Bulk).

Cell lengths 6.8688, 6.8688, 3.3481 Å; angles 90.00, 90.00, 90.00 degrees
Space group P4/mbm (No. 127)
One atom of each set of equivalent atoms:
Zn (0.1354, 0.3646, 0.0000) x4
Ag (0.1611, 0.6611, 0.5000) x4
Au (0.0000, 0.0000, 0.0000) x2

Values from the calculation:
N(E_F) = 1.32 states/eV/f.u.
ΔE_f = -39 meV per atom
Volume = 157.96 Å³/cell
Final energy = -2.78 eV per atom